This record from Alexandria describes a relaxed structure of MnHS2. The functional is PBE.

The structure in CIF format:
```
data_MnHS2
_chemical_formula_sum 'Mn2 H2 S4'
_cell_length_a 5.755
_cell_length_b 3.407
_cell_length_c 7.450
_cell_angle_alpha 90.00
_cell_angle_beta 90.22
_cell_angle_gamma 90.00
_space_group_name_H-M_alt 'P 1 m 1'
_space_group_IT_number 6
_space_group_name_Hall 'P -2y'
loop_
_atom_site_label
_atom_site_type_symbol
_atom_site_fract_x
_atom_site_fract_y
_atom_site_fract_z
_atom_site_occupancy
Mn1 Mn 0.000 0.000 0.000 1
Mn2 Mn 0.494 0.500 0.656 1
H1 H 0.098 0.000 0.569 1
H2 H 0.981 0.500 0.300 1
S1 S 0.256 0.500 0.926 1
S2 S 0.309 0.000 0.481 1
S3 S 0.755 0.000 0.728 1
S4 S 0.809 0.500 0.174 1
```

Energy above the lowest structure with this stoichiometry: 16 meV per atom
Density: 2.7 g cm⁻³